VASP calculation (GGA+U) on crystalline Na2V2O5 at its relaxed geometry.

energy = -59.74 eV/cell
magnetization = 2.00 Bohr magnetons per cell
density = 3.16 g/cm³

Cell: 3.866 5.747 5.864 Å, 77.67 70.78 89.96°
Space group P-1 (No. 2)
Unique sites:
Na: 0.109 0.332 0.283 x2
V: 0.352 0.120 0.796 x2
O: 0.175 0.963 0.150 x2
O: 0.360 0.419 0.778 x2
O: 0.500 0.000 0.500 x1